(1)
This record from the Alexandria database describes a relaxed structure of CsLiTa4N8. The functional is PBE-GGA.

Cell lengths 6.341, 6.341, 6.703 Å; angles 61.77, 61.77, 60.00 degrees
Fractional coordinates of all 14 atoms:
Cs (0.358, 0.358, 0.927)
Li (0.001, 0.001, 0.996)
Ta (0.620, 0.620, 0.139)
Ta (0.997, 0.494, 0.512)
Ta (0.494, 0.997, 0.512)
Ta (0.997, 0.997, 0.512)
N (0.250, 0.820, 0.680)
N (0.820, 0.250, 0.680)
N (0.250, 0.250, 0.680)
N (0.225, 0.225, 0.325)
N (0.741, 0.247, 0.272)
N (0.247, 0.741, 0.272)
N (0.741, 0.741, 0.272)
N (0.760, 0.760, 0.720)

Its space-group type is No. 160. The value obtained for the total magnetic moment is 0.00 μB/f.u. As for the total energy: -122.567 eV/cell.

---

(2)
This record from the Alexandria database describes a relaxed structure of CsLiTe2N. The functional is PBE-GGA.

Cell lengths 6.509, 6.509, 3.716 Å; angles 90.00, 90.00, 90.00 degrees
Last column: magnetic moment on the atom in μB.
Fractional coordinates of all 5 atoms:
Cs (0.500, 0.500, 0.500)  0.00
Te (0.000, 0.500, 0.000)  -0.09
Te (0.500, 0.000, 0.000)  -0.09
Li (0.000, 0.000, 0.000)  0.01
N (0.000, 0.000, 0.500)  1.26

Its space-group type is No. 123. The value obtained for the energy relative to the lowest polymorph listed for this composition is 0 meV/atom. The value obtained for the total magnetic moment is 1.57 μB/f.u.